DFT (PBE) results for crystalline Pu3NpPa3N8 at its relaxed geometry.

Values from the calculation:
Its space-group type is R-3m, No. 166. The raw formation energy comes out at -1.280 eV per atom. The magnetization comes out at 19.3 μB/cell.

Cell: 6.9182 6.9182 6.9182 Å, 61.23 61.23 61.23°
Element x y z (fractional)
Pu: 0.0000 0.5000 0.5000
Pu: 0.5000 0.0000 0.5000
Pu: 0.5000 0.5000 0.0000
Np: 0.5000 0.5000 0.5000
Pa: 0.0000 0.0000 0.5000
Pa: 0.0000 0.5000 0.0000
Pa: 0.5000 0.0000 0.0000
N: 0.2445 0.2445 0.2445
N: 0.2543 0.7278 0.7278
N: 0.2722 0.2722 0.7457
N: 0.2722 0.7457 0.2722
N: 0.7278 0.2543 0.7278
N: 0.7278 0.7278 0.2543
N: 0.7457 0.2722 0.2722
N: 0.7555 0.7555 0.7555

***

DFT (PBE) results for crystalline Be2WCl at its relaxed geometry.

Values from the calculation:
Its space-group type is F-43m, No. 216. The raw formation energy comes out at 1.142 eV per atom. For the relative energy among the computed polymorphs, the calculation gives 0.939 eV/atom. The magnetization comes out at 0.7 μB/cell.

Cell: 4.1687 4.1687 4.1687 Å, 60.00 60.00 60.00°
Element x y z (fractional)
Be: 0.0000 0.0000 0.0000
Be: 0.2500 0.2500 0.2500
W: 0.7500 0.7500 0.7500
Cl: 0.5000 0.5000 0.5000

***

DFT (PBE) results for crystalline NaSr3As6 at its relaxed geometry.

Values from the calculation:
Its space-group type is R-3c, No. 167. Its total energy is -4.101 eV/atom. The magnetization comes out at 0.0 μB/cell.

Cell: 8.2946 8.2946 8.2946 Å, 99.75 99.75 99.75°
Element x y z (fractional)
Na: 0.0000 0.0000 0.0000
Na: 0.5000 0.5000 0.5000
Sr: 0.1825 0.7500 0.3175
Sr: 0.2500 0.6825 0.8175
Sr: 0.3175 0.1825 0.7500
Sr: 0.6825 0.8175 0.2500
Sr: 0.7500 0.3175 0.1825
Sr: 0.8175 0.2500 0.6825
As: 0.0167 0.0877 0.3941
As: 0.0877 0.3941 0.0167
As: 0.1059 0.4123 0.4833
As: 0.3941 0.0167 0.0877
As: 0.4123 0.4833 0.1059
As: 0.4833 0.1059 0.4123
As: 0.5167 0.8941 0.5877
As: 0.5877 0.5167 0.8941
As: 0.6059 0.9833 0.9123
As: 0.8941 0.5877 0.5167
As: 0.9123 0.6059 0.9833
As: 0.9833 0.9123 0.6059

***

DFT (PBE) results for crystalline CsGaAu at its relaxed geometry.

Values from the calculation:
Its space-group type is P2_13, No. 198. For the relative energy among the computed polymorphs, the calculation gives 0.047 eV/atom. The magnetization comes out at 0.0 μB/cell.

Cell: 7.3602 7.3602 7.3602 Å, 90.00 90.00 90.00°
Element x y z (fractional)
Cs: 0.1357 0.1357 0.1357
Cs: 0.3643 0.8643 0.6357
Cs: 0.6357 0.3643 0.8643
Cs: 0.8643 0.6357 0.3643
Ga: 0.1477 0.3523 0.6477
Ga: 0.3523 0.6477 0.1477
Ga: 0.6477 0.1477 0.3523
Ga: 0.8523 0.8523 0.8523
Au: 0.0991 0.5991 0.9009
Au: 0.4009 0.4009 0.4009
Au: 0.5991 0.9009 0.0991
Au: 0.9009 0.0991 0.5991

***

DFT (PBE) results for crystalline Be2SbOs at its relaxed geometry.

Values from the calculation:
Its space-group type is P4/mmm, No. 123. The raw formation energy comes out at 0.120 eV per atom. The magnetization comes out at 0.0 μB/cell.

Cell: 3.0782 3.0782 5.8058 Å, 90.00 90.00 90.00°
Element x y z (fractional)
Be: 0.0000 0.0000 0.1761
Be: 0.0000 0.0000 0.8239
Sb: 0.5000 0.5000 0.5000
Os: 0.5000 0.5000 0.0000

***

DFT (PBE) results for crystalline InRuC3 at its relaxed geometry.

Values from the calculation:
Its space-group type is Pm-3m, No. 221. For the relative energy among the computed polymorphs, the calculation gives 0.000 eV/atom. The magnetization comes out at 0.0 μB/cell.

Cell: 4.0516 4.0516 4.0516 Å, 90.00 90.00 90.00°
Element x y z (fractional)
In: 0.0000 0.0000 0.0000
Ru: 0.5000 0.5000 0.5000
C: 0.0000 0.5000 0.5000
C: 0.5000 0.0000 0.5000
C: 0.5000 0.5000 0.0000

***

DFT (PBE) results for crystalline Ba2Tl6Au at its relaxed geometry.

Values from the calculation:
Its space-group type is C2/m, No. 12. Its total energy is -2.653 eV/atom. The magnetization comes out at 0.0 μB/cell.

Cell: 7.3305 7.3305 6.0613 Å, 96.04 96.04 65.39°
Element x y z (fractional)
Ba: 0.1884 0.1884 0.3002
Ba: 0.8116 0.8116 0.6998
Tl: 0.1352 0.7024 0.2165
Tl: 0.2976 0.8648 0.7835
Tl: 0.3554 0.3554 0.8445
Tl: 0.6446 0.6446 0.1555
Tl: 0.7024 0.1352 0.2165
Tl: 0.8648 0.2976 0.7835
Au: 0.5000 0.5000 0.5000

***

DFT (PBE) results for crystalline LiSb2Au2 at its relaxed geometry.

Values from the calculation:
Its space-group type is P4/mbm, No. 127. The raw formation energy comes out at -0.083 eV per atom. For the relative energy among the computed polymorphs, the calculation gives 0.175 eV/atom. The magnetization comes out at 0.0 μB/cell.

Cell: 7.7085 7.7085 3.8194 Å, 90.00 90.00 90.00°
Element x y z (fractional)
Li: 0.0000 0.0000 0.0000
Li: 0.5000 0.5000 0.0000
Sb: 0.1675 0.3325 0.0000
Sb: 0.3325 0.8325 0.0000
Sb: 0.6675 0.1675 0.0000
Sb: 0.8325 0.6675 0.0000
Au: 0.1379 0.6379 0.5000
Au: 0.3621 0.1379 0.5000
Au: 0.6379 0.8621 0.5000
Au: 0.8621 0.3621 0.5000

***

DFT (PBE) results for crystalline Zr2GaCoN at its relaxed geometry.

Values from the calculation:
Its space-group type is P4/nmm, No. 129. The raw formation energy comes out at -0.794 eV per atom. The magnetization comes out at 1.2 μB/cell.

Cell: 3.5926 3.5926 11.4281 Å, 90.00 90.00 90.00°
Element x y z (fractional)
Zr: 0.2500 0.2500 0.0938
Zr: 0.2500 0.2500 0.7125
Zr: 0.7500 0.7500 0.2875
Zr: 0.7500 0.7500 0.9062
Ga: 0.2500 0.2500 0.3609
Ga: 0.7500 0.7500 0.6391
Co: 0.2500 0.7500 0.5000
Co: 0.7500 0.2500 0.5000
N: 0.2500 0.2500 0.9043
N: 0.7500 0.7500 0.0957

***

DFT (PBE) results for crystalline Tl6AsI12 at its relaxed geometry.

Values from the calculation:
Its space-group type is R-3, No. 148. The raw formation energy comes out at -0.359 eV per atom. The magnetization comes out at 0.0 μB/cell.

Cell: 9.5954 9.5954 9.5954 Å, 93.76 93.76 93.76°
Element x y z (fractional)
Tl: 0.1686 0.7058 0.3119
Tl: 0.2942 0.6881 0.8314
Tl: 0.3119 0.1686 0.7058
Tl: 0.6881 0.8314 0.2942
Tl: 0.7058 0.3119 0.1686
Tl: 0.8314 0.2942 0.6881
As: 0.0000 0.0000 0.0000
I: 0.0138 0.3028 0.0160
I: 0.0160 0.0138 0.3028
I: 0.1402 0.4275 0.5821
I: 0.3028 0.0160 0.0138
I: 0.4179 0.8598 0.5725
I: 0.4275 0.5821 0.1402
I: 0.5725 0.4179 0.8598
I: 0.5821 0.1402 0.4275
I: 0.6972 0.9840 0.9862
I: 0.8598 0.5725 0.4179
I: 0.9840 0.9862 0.6972
I: 0.9862 0.6972 0.9840

***

DFT (PBE) results for crystalline Pr4OsI2Br at its relaxed geometry.

Values from the calculation:
Its space-group type is P2/m, No. 10. The raw formation energy comes out at -0.810 eV per atom. The magnetization comes out at 0.0 μB/cell.

Cell: 7.9708 4.2322 8.3106 Å, 90.00 106.26 90.00°
Element x y z (fractional)
Pr: 0.1949 0.0000 0.1900
Pr: 0.2272 0.5000 0.7985
Pr: 0.7728 0.5000 0.2015
Pr: 0.8051 0.0000 0.8100
Os: 0.0000 0.5000 0.0000
I: 0.0000 0.0000 0.5000
I: 0.5000 0.5000 0.5000
Br: 0.5000 0.0000 0.0000

***

DFT (PBE) results for crystalline TiNbCrRu at its relaxed geometry.

Values from the calculation:
Its space-group type is P4mm, No. 99. For the relative energy among the computed polymorphs, the calculation gives 0.000 eV/atom. The magnetization comes out at 0.5 μB/cell.

Cell: 3.0949 3.0949 6.2290 Å, 90.00 90.00 90.00°
Element x y z (fractional)
Ti: 0.0000 0.0000 0.0000
Nb: 0.0000 0.0000 0.5142
Cr: 0.5000 0.5000 0.7583
Ru: 0.5000 0.5000 0.2496

***

DFT (PBE) results for crystalline TmScBePd at its relaxed geometry.

Values from the calculation:
Its space-group type is F-43m, No. 216. Its total energy is -5.327 eV/atom. The magnetization comes out at 0.0 μB/cell.

Cell: 4.7387 4.7387 4.7387 Å, 60.00 60.00 60.00°
Element x y z (fractional)
Tm: 0.0000 0.0000 0.0000
Sc: 0.5000 0.5000 0.5000
Be: 0.2500 0.2500 0.2500
Pd: 0.7500 0.7500 0.7500

***

DFT (PBE) results for crystalline Tb at its relaxed geometry.

Values from the calculation:
Its space-group type is P6_3/mmc, No. 194. For the relative energy among the computed polymorphs, the calculation gives 0.872 eV/atom. The magnetization comes out at 0.2 μB/cell.

Cell: 5.5144 5.5144 5.4727 Å, 90.00 90.00 120.00°
Element x y z (fractional)
Tb: 0.0000 0.0000 0.2500
Tb: 0.0000 0.0000 0.7500
Tb: 0.3333 0.6667 0.2500
Tb: 0.6667 0.3333 0.7500

***

DFT (PBE) results for crystalline Mg4Si7 at its relaxed geometry.

Values from the calculation:
Its space-group type is P1, No. 1. The raw formation energy comes out at 0.116 eV per atom. For the relative energy among the computed polymorphs, the calculation gives 0.020 eV/atom. The magnetization comes out at 0.0 μB/cell.

Cell: 3.9647 7.0549 14.2981 Å, 92.73 92.16 91.10°
Element x y z (fractional)
Mg: 0.0000 0.0000 0.0000
Mg: 0.0007 0.5183 0.0788
Mg: 0.0079 0.4085 0.3083
Mg: 0.0455 0.8757 0.2480
Mg: 0.3918 0.0224 0.5667
Mg: 0.4483 0.9887 0.8204
Mg: 0.4847 0.4200 0.7366
Mg: 0.5130 0.2027 0.1517
Si: 0.2524 0.6409 0.6078
Si: 0.3486 0.6813 0.4428
Si: 0.4625 0.3403 0.4601
Si: 0.4871 0.6701 0.9430
Si: 0.4912 0.3099 0.9625
Si: 0.5142 0.5873 0.2149
Si: 0.5174 0.8205 0.0991
Si: 0.5555 0.1097 0.3368
Si: 0.8066 0.7990 0.6846
Si: 0.8417 0.8857 0.4365
Si: 0.9595 0.3383 0.5638
Si: 0.9601 0.6737 0.8406
Si: 0.9609 0.1454 0.7022
Si: 0.9785 0.2963 0.8601

***

DFT (PBE) results for crystalline La4Ho5Tl at its relaxed geometry.

Values from the calculation:
Its space-group type is I4mm, No. 107. Its total energy is -4.425 eV/atom. The magnetization comes out at 0.0 μB/cell.

Cell: 8.2440 8.2440 8.2440 Å, 97.24 97.24 138.40°
Element x y z (fractional)
La: 0.0000 0.3093 0.3093
La: 0.0000 0.6907 0.6907
La: 0.3093 0.0000 0.3093
La: 0.6907 0.0000 0.6907
Ho: 0.2000 0.2000 0.0000
Ho: 0.3111 0.3111 0.6336
Ho: 0.3111 0.6775 0.0000
Ho: 0.6775 0.3111 0.0000
Ho: 0.6775 0.6775 0.3664
Tl: 0.7160 0.7160 0.0000

***

DFT (PBE) results for crystalline AcEuAs at its relaxed geometry.

Values from the calculation:
Its space-group type is P3m1, No. 156. For the relative energy among the computed polymorphs, the calculation gives 0.000 eV/atom. The magnetization comes out at 7.6 μB/cell.

Cell: 4.3548 4.3548 7.2047 Å, 90.00 90.00 120.00°
Element x y z (fractional)
Ac: 0.0000 0.0000 0.0000
Eu: 0.3333 0.6667 0.5131
As: 0.6667 0.3333 0.7505

***

DFT (PBE) results for crystalline Rb3Mn2SnCl9 at its relaxed geometry.

Values from the calculation:
Its space-group type is P-3m1, No. 164. The raw formation energy comes out at -1.433 eV per atom. The magnetization comes out at 10.0 μB/cell.

Cell: 7.3986 7.3986 9.1786 Å, 90.00 90.00 120.00°
Element x y z (fractional)
Rb: 0.0000 0.0000 0.0000
Rb: 0.3333 0.6667 0.6817
Rb: 0.6667 0.3333 0.3183
Mn: 0.3333 0.6667 0.1560
Mn: 0.6667 0.3333 0.8440
Sn: 0.0000 0.0000 0.5000
Cl: 0.0000 0.5000 0.0000
Cl: 0.1746 0.3492 0.3169
Cl: 0.1746 0.8254 0.3169
Cl: 0.3492 0.1746 0.6831
Cl: 0.5000 0.0000 0.0000
Cl: 0.5000 0.5000 0.0000
Cl: 0.6508 0.8254 0.3169
Cl: 0.8254 0.1746 0.6831
Cl: 0.8254 0.6508 0.6831

***

DFT (PBE) results for crystalline Ru2PbSe at its relaxed geometry.

Values from the calculation:
Its space-group type is C2/m, No. 12. The raw formation energy comes out at 0.728 eV per atom. For the relative energy among the computed polymorphs, the calculation gives 0.497 eV/atom. The magnetization comes out at 0.5 μB/cell.

Cell: 5.2928 5.2928 3.3107 Å, 107.47 107.47 110.32°
Element x y z (fractional)
Ru: 0.0000 0.5000 0.0000
Ru: 0.5000 0.0000 0.0000
Pb: 0.0000 0.0000 0.5000
Se: 0.5000 0.5000 0.5000

***

DFT (PBE) results for crystalline RbNa2SeN at its relaxed geometry.

Values from the calculation:
Its space-group type is P4/mmm, No. 123. The raw formation energy comes out at 1.128 eV per atom. The magnetization comes out at 2.2 μB/cell.

Cell: 6.8818 6.8818 5.9245 Å, 90.00 90.00 90.00°
Element x y z (fractional)
Rb: 0.0000 0.0000 0.0000
Na: 0.0000 0.5000 0.0000
Na: 0.5000 0.0000 0.0000
Se: 0.0000 0.0000 0.5000
N: 0.5000 0.5000 0.5000

***

DFT (PBE) results for crystalline LiSc2W2 at its relaxed geometry.

Values from the calculation:
Its space-group type is I4/mmm, No. 139. For the relative energy among the computed polymorphs, the calculation gives 0.000 eV/atom. The magnetization comes out at 0.0 μB/cell.

Cell: 8.3822 8.3822 8.3822 Å, 154.53 154.53 36.33°
Element x y z (fractional)
Li: 0.0000 0.0000 0.0000
Sc: 0.3928 0.3928 0.0000
Sc: 0.6072 0.6072 0.0000
W: 0.2500 0.7500 0.5000
W: 0.7500 0.2500 0.5000

***

DFT (PBE) results for crystalline SrO at its relaxed geometry.

Values from the calculation:
Its space-group type is P6_3/m, No. 176. The raw formation energy comes out at -2.555 eV per atom. The magnetization comes out at 0.0 μB/cell.

Cell: 9.4499 9.4499 4.1733 Å, 90.00 90.00 120.00°
Element x y z (fractional)
Sr: 0.0779 0.6726 0.2500
Sr: 0.3274 0.4053 0.2500
Sr: 0.4053 0.0779 0.7500
Sr: 0.5947 0.9221 0.2500
Sr: 0.6726 0.5947 0.7500
Sr: 0.9221 0.3274 0.7500
O: 0.0749 0.4100 0.2500
O: 0.3352 0.9251 0.2500
O: 0.4100 0.3352 0.7500
O: 0.5900 0.6648 0.2500
O: 0.6648 0.0749 0.7500
O: 0.9251 0.5900 0.7500

***

DFT (PBE) results for crystalline Ta2BeGa at its relaxed geometry.

Values from the calculation:
Its space-group type is P2_1/m, No. 11. Its total energy is -7.870 eV/atom. The magnetization comes out at 0.0 μB/cell.

Cell: 5.1350 3.5455 6.9493 Å, 90.00 110.26 90.00°
Element x y z (fractional)
Ta: 0.1728 0.2500 0.4279
Ta: 0.1990 0.2500 0.9144
Ta: 0.8010 0.7500 0.0856
Ta: 0.8272 0.7500 0.5721
Be: 0.3517 0.7500 0.7122
Be: 0.6483 0.2500 0.2878
Ga: 0.3619 0.7500 0.2206
Ga: 0.6381 0.2500 0.7794

***

The records above yield density values of 12.24; 7.69; 4.50; 6.66; 9.96; 6.29; 9.60; 9.43; 7.32; 5.34; 6.71; 8.18; 7.27; 7.32; 2.45; 7.57; 6.37; 3.07; 10.96; 1.33; 7.09; 3.20; 12.33 g/cm3, respectively.